This record from the Alexandria database describes an optimized crystal structure of Eu2YPu. The functional is PBE.

Calculated values
DFT formation energy = 31 kJ/mol of atoms

Unit cell a=3.5458 b=3.5458 c=38.4202 alpha=90.00 beta=90.00 gamma=120.00
Space group R-3m (No. 166, hexagonal axes)
Inequivalent atoms, fractional coordinates:
Eu: 0.0000 0.0000 0.0865 (multiplicity 6)
Y: 0.0000 0.0000 0.5000 (multiplicity 3)
Pu: 0.0000 0.0000 0.0000 (multiplicity 3)



This record from the Alexandria database describes an optimized crystal structure of Sr2MnRe. The functional is PBE.

Calculated values
DFT formation energy = 63 kJ/mol of atoms

Unit cell a=3.691 b=5.352 c=11.007 alpha=90.00 beta=90.00 gamma=90.00
Space group Imm2 (No. 44)
Inequivalent atoms, fractional coordinates:
Sr: 0.000 0.000 0.000 (multiplicity 2)
Sr: 0.000 0.500 0.213 (multiplicity 2)
Mn: 0.000 0.500 0.795 (multiplicity 2)
Re: 0.000 0.000 0.416 (multiplicity 2)



This record from the Alexandria database describes an optimized crystal structure of KSr2GaPt. The functional is PBE.

Calculated values
DFT formation energy = -37 kJ/mol of atoms

Unit cell a=6.058 b=6.058 c=4.967 alpha=90.00 beta=90.00 gamma=90.00
Space group P4/mmm (No. 123)
Inequivalent atoms, fractional coordinates:
K: 0.000 0.000 0.000 (multiplicity 1)
Sr: 0.000 0.500 0.500 (multiplicity 2)
Ga: 0.500 0.500 0.000 (multiplicity 1)
Pt: 0.500 0.500 0.500 (multiplicity 1)



This record from the Alexandria database describes an optimized crystal structure of Ta4FeOs. The functional is PBE.

Calculated values
DFT formation energy = 18 kJ/mol of atoms

Unit cell a=6.070 b=6.070 c=6.113 alpha=90.00 beta=90.10 gamma=90.00
Space group C2/m (No. 12)
Inequivalent atoms, fractional coordinates:
Ta: 0.250 0.250 0.241 (multiplicity 8)
Fe: 0.000 0.000 0.000 (multiplicity 2)
Os: 0.000 0.500 0.500 (multiplicity 2)



This record from the Alexandria database describes an optimized crystal structure of SnTe2Mo. The functional is PBE.

Calculated values
raw formation energy = 14 meV/atom

Unit cell a=3.4901 b=3.4901 c=30.5555 alpha=90.00 beta=90.00 gamma=120.00
Space group R-3m (No. 166, hexagonal axes)
Inequivalent atoms, fractional coordinates:
Sn: 0.0000 0.0000 0.0000 (multiplicity 3)
Te: 0.0000 0.0000 0.1055 (multiplicity 6)
Mo: 0.0000 0.0000 0.5000 (multiplicity 3)



This record from the Alexandria database describes an optimized crystal structure of In2PRh. The functional is PBE.

Calculated values
DFT formation energy = 8 kJ/mol of atoms

Unit cell a=3.4781 b=3.4781 c=22.5318 alpha=90.00 beta=90.00 gamma=120.00
Space group R-3m (No. 166, hexagonal axes)
Inequivalent atoms, fractional coordinates:
In: 0.0000 0.0000 0.2501 (multiplicity 6)
P: 0.0000 0.0000 0.0000 (multiplicity 3)
Rh: 0.0000 0.0000 0.5000 (multiplicity 3)



This record from the Alexandria database describes an optimized crystal structure of TlCr2Co. The functional is PBE.

Calculated values
DFT formation energy = 51 kJ/mol of atoms

Unit cell a=3.968 b=3.968 c=7.638 alpha=90.00 beta=90.00 gamma=90.00
Space group I-4m2 (No. 119)
Inequivalent atoms, fractional coordinates:
Tl: 0.000 0.000 0.000 (multiplicity 2)
Cr: 0.000 0.000 0.500 (multiplicity 2)
Cr: 0.000 0.500 0.250 (multiplicity 2)
Co: 0.000 0.500 0.750 (multiplicity 2)



This record from the Alexandria database describes an optimized crystal structure of Ta3V3Os. The functional is PBE.

Calculated values
DFT formation energy = 19 kJ/mol of atoms

Unit cell a=8.5150 b=8.5150 c=5.5332 alpha=90.00 beta=90.00 gamma=120.00
Space group R3m (No. 160, hexagonal axes)
Inequivalent atoms, fractional coordinates:
Ta: 0.1837 0.3674 0.0000 (multiplicity 9)
V: 0.1727 0.3454 0.5146 (multiplicity 9)
Os: 0.0000 0.0000 0.7015 (multiplicity 3)



This record from the Alexandria database describes an optimized crystal structure of PrPuIr2. The functional is PBE.

Calculated values
DFT formation energy = -47 kJ/mol of atoms

Unit cell a=4.125 b=3.956 c=11.076 alpha=90.00 beta=90.00 gamma=90.00
Space group Amm2 (No. 38)
Inequivalent atoms, fractional coordinates:
Pr: 0.000 0.000 0.000 (multiplicity 2)
Pu: 0.500 0.000 0.283 (multiplicity 2)
Ir: 0.000 0.000 0.733 (multiplicity 2)
Ir: 0.500 0.000 0.565 (multiplicity 2)



This record from the Alexandria database describes an optimized crystal structure of TbCe2Pb. The functional is PBE.

Calculated values
DFT formation energy = -4 kJ/mol of atoms

Unit cell a=7.828 b=7.828 c=7.828 alpha=90.00 beta=90.00 gamma=90.00
Space group Fm-3m (No. 225)
Inequivalent atoms, fractional coordinates:
Tb: 0.000 0.000 0.000 (multiplicity 4)
Ce: 0.250 0.250 0.250 (multiplicity 8)
Pb: 0.000 0.000 0.500 (multiplicity 4)



This record from the Alexandria database describes an optimized crystal structure of Pm2MgHg. The functional is PBE.

Calculated values
DFT formation energy = -28 kJ/mol of atoms

Unit cell a=3.849 b=3.849 c=7.595 alpha=90.00 beta=90.00 gamma=90.00
Space group P4/mmm (No. 123)
Inequivalent atoms, fractional coordinates:
Pm: 0.000 0.000 0.248 (multiplicity 2)
Mg: 0.500 0.500 0.500 (multiplicity 1)
Hg: 0.500 0.500 0.000 (multiplicity 1)



This record from the Alexandria database describes an optimized crystal structure of Ba5C. The functional is PBE.

Calculated values
DFT formation energy = 49 kJ/mol of atoms

Unit cell a=3.893 b=3.893 c=18.136 alpha=90.00 beta=90.00 gamma=90.00
Space group P4/mmm (No. 123)
Inequivalent atoms, fractional coordinates:
Ba: 0.000 0.000 0.000 (multiplicity 1)
Ba: 0.000 0.000 0.412 (multiplicity 2)
Ba: 0.500 0.500 0.198 (multiplicity 2)
C: 0.500 0.500 0.500 (multiplicity 1)



This record from the Alexandria database describes an optimized crystal structure of FeOsRh4. The functional is PBE.

Calculated values
DFT formation energy = 3 kJ/mol of atoms

Unit cell a=2.706 b=3.796 c=8.130 alpha=90.00 beta=90.00 gamma=90.00
Space group Pmmm (No. 47)
Inequivalent atoms, fractional coordinates:
Fe: 0.000 0.000 0.000 (multiplicity 1)
Os: 0.500 0.500 0.500 (multiplicity 1)
Rh: 0.000 0.000 0.335 (multiplicity 2)
Rh: 0.500 0.500 0.162 (multiplicity 2)



This record from the Alexandria database describes an optimized crystal structure of Ba2AcI2N2. The functional is PBE.

Calculated values
raw formation energy = -1128 meV/atom

Unit cell a=4.870 b=4.870 c=18.762 alpha=90.00 beta=90.00 gamma=90.00
Space group I4/mmm (No. 139)
Inequivalent atoms, fractional coordinates:
Ba: 0.000 0.000 0.098 (multiplicity 4)
Ac: 0.000 0.000 0.500 (multiplicity 2)
I: 0.000 0.000 0.318 (multiplicity 4)
N: 0.000 0.500 0.000 (multiplicity 4)



This record from the Alexandria database describes an optimized crystal structure of AcMg2ScIn4. The functional is PBE.

Calculated values
DFT formation energy = -26 kJ/mol of atoms

Unit cell a=4.9377 b=4.9377 c=30.2227 alpha=90.00 beta=90.00 gamma=120.00
Space group R-3m (No. 166, hexagonal axes)
Inequivalent atoms, fractional coordinates:
Ac: 0.0000 0.0000 0.0000 (multiplicity 3)
Mg: 0.0000 0.0000 0.2398 (multiplicity 6)
Sc: 0.0000 0.0000 0.5000 (multiplicity 3)
In: 0.0000 0.0000 0.1292 (multiplicity 6)
In: 0.0000 0.0000 0.3974 (multiplicity 6)



This record from the Alexandria database describes an optimized crystal structure of ZrScCu. The functional is PBE.

Calculated values
DFT formation energy = -1 kJ/mol of atoms

Unit cell a=4.821 b=3.248 c=7.796 alpha=90.00 beta=107.91 gamma=90.00
Space group Pm (No. 6)
Inequivalent atoms, fractional coordinates:
Zr: 0.000 0.000 0.000 (multiplicity 1)
Zr: 0.318 0.000 0.638 (multiplicity 1)
Sc: 0.492 0.500 0.984 (multiplicity 1)
Sc: 0.676 0.000 0.356 (multiplicity 1)
Cu: 0.152 0.500 0.310 (multiplicity 1)
Cu: 0.842 0.500 0.687 (multiplicity 1)